# Pm2AgO, optimized geometry, DFT PBE-GGA
# - formation energy without anion corrections (eV/atom) = -1.332
data_Pm2AgO
_cell_length_a 7.4251
_cell_length_b 7.4251
_cell_length_c 7.4251
_cell_angle_alpha 29.37
_cell_angle_beta 29.37
_cell_angle_gamma 29.37
_symmetry_space_group_name_H-M 'P 1'
_symmetry_Int_Tables_number 1
loop_
_symmetry_equiv_pos_as_xyz
'x,y,z'
loop_
_atom_site_label
_atom_site_type_symbol
_atom_site_fract_x
_atom_site_fract_y
_atom_site_fract_z
Pm1 Pm 0.2295 0.2295 0.2295
Pm2 Pm 0.7705 0.7705 0.7705
Ag1 Ag 0.0000 0.0000 0.0000
O1 O 0.5000 0.5000 0.5000

---

# In6GaHg10, optimized geometry, DFT PBE-GGA
# - ΔH_f (0 K) (meV per atom) = 25
data_In6GaHg10
_cell_length_a 6.2201
_cell_length_b 8.8835
_cell_length_c 9.7447
_cell_angle_alpha 111.48
_cell_angle_beta 108.42
_cell_angle_gamma 97.74
_symmetry_space_group_name_H-M 'P 1'
_symmetry_Int_Tables_number 1
loop_
_symmetry_equiv_pos_as_xyz
'x,y,z'
loop_
_atom_site_label
_atom_site_type_symbol
_atom_site_fract_x
_atom_site_fract_y
_atom_site_fract_z
In1 In 0.1214 0.4100 0.3512
In2 In 0.2459 0.3542 0.9851
In3 In 0.2756 0.9817 0.6691
In4 In 0.7244 0.0183 0.3309
In5 In 0.7541 0.6458 0.0149
In6 In 0.8786 0.5900 0.6488
Ga1 Ga 0.5000 0.0000 0.0000
Hg1 Hg 0.0970 0.0224 0.1840
Hg2 Hg 0.1616 0.2964 0.6332
Hg3 Hg 0.2478 0.6999 0.0000
Hg4 Hg 0.3563 0.7642 0.3658
Hg5 Hg 0.4397 0.6709 0.7059
Hg6 Hg 0.5603 0.3291 0.2941
Hg7 Hg 0.6437 0.2358 0.6342
Hg8 Hg 0.7522 0.3001 0.0000
Hg9 Hg 0.8384 0.7036 0.3668
Hg10 Hg 0.9030 0.9776 0.8160

---

# Sb5W, optimized geometry, DFT PBE-GGA
# - formation energy without anion corrections (eV/atom) = 0.581
data_Sb5W
_cell_length_a 7.6073
_cell_length_b 7.6073
_cell_length_c 4.5937
_cell_angle_alpha 90.00
_cell_angle_beta 90.00
_cell_angle_gamma 144.49
_symmetry_space_group_name_H-M 'P 1'
_symmetry_Int_Tables_number 1
loop_
_symmetry_equiv_pos_as_xyz
'x,y,z'
loop_
_atom_site_label
_atom_site_type_symbol
_atom_site_fract_x
_atom_site_fract_y
_atom_site_fract_z
Sb1 Sb 0.0000 0.0000 0.0000
Sb2 Sb 0.1412 0.8588 0.5000
Sb3 Sb 0.3594 0.6406 0.0000
Sb4 Sb 0.6406 0.3594 0.0000
Sb5 Sb 0.8588 0.1412 0.5000
W1 W 0.5000 0.5000 0.5000

---

# UGaCo, optimized geometry, DFT PBE-GGA
# - ΔH_f (0 K) (meV per atom) = -284
data_UGaCo
_cell_length_a 5.6538
_cell_length_b 5.7644
_cell_length_c 8.2865
_cell_angle_alpha 90.00
_cell_angle_beta 130.11
_cell_angle_gamma 90.00
_symmetry_space_group_name_H-M 'P 1'
_symmetry_Int_Tables_number 1
loop_
_symmetry_equiv_pos_as_xyz
'x,y,z'
loop_
_atom_site_label
_atom_site_type_symbol
_atom_site_fract_x
_atom_site_fract_y
_atom_site_fract_z
U1 U 0.2424 0.1115 0.4208
U2 U 0.2424 0.3885 0.9208
U3 U 0.7576 0.6115 0.0792
U4 U 0.7576 0.8885 0.5792
Ga1 Ga 0.2641 0.6173 0.5910
Ga2 Ga 0.2641 0.8827 0.0910
Ga3 Ga 0.7359 0.1173 0.9090
Ga4 Ga 0.7359 0.3827 0.4090
Co1 Co 0.2880 0.6073 0.3123
Co2 Co 0.2880 0.8927 0.8123
Co3 Co 0.7120 0.1073 0.1877
Co4 Co 0.7120 0.3927 0.6877

---

Q: Which calculated volume values were calculated for the entries above? A: 87 456 154 207, in Å³ per cell.